Entry from Alexandria: crystalline Dy5HoPb6 at its relaxed geometry (GGA-PBE).

Cell lengths 6.1229, 15.3540, 7.7206 Å; angles 90.00, 103.74, 90.00 degrees
Closest atoms and distances in Å follow each position.
Space group C2/m (No. 12)
Asymmetric unit:
Dy (0.0000, 0.0000, 0.0000) x2  6 Pb 3.21
Dy (0.0000, 0.3328, 0.0000) x4  6 Pb 3.21
Dy (0.0000, 0.3337, 0.5000) x4  6 Pb 3.20-3.21
Ho (0.0000, 0.0000, 0.5000) x2  6 Pb 3.20
Pb (0.9998, 0.1663, 0.2508) x8  1 Ho 3.20, 5 Dy 3.21
Pb (0.0015, 0.5000, 0.2494) x4  1 Ho 3.20, 5 Dy 3.20-3.21

Results
The density of states at the Fermi level is 15.7 states/eV per cell. The total energy comes out at -4.58 eV/atom. The crystal system is monoclinic. For the energy above the most stable polymorph in this dataset, the calculation gives 0.0 meV per atom.


Entry from Alexandria: crystalline Dy2HoPb at its relaxed geometry (GGA-PBE).

Cell lengths 8.9120, 5.3009, 6.3427 Å; angles 90.00, 117.52, 90.00 degrees
Closest atoms and distances in Å follow each position.
Space group Cm (No. 8)
Asymmetric unit:
Dy (0.0000, 0.0000, 0.0000) x2  3 Pb 3.29-3.35, 3 Dy 3.50-3.61, 4 Ho 3.59-3.68
Dy (0.2164, 0.0000, 0.6586) x2  3 Pb 3.05-3.06
Ho (0.2745, 0.5000, 0.3460) x2  2 Pb 3.35-3.67, 7 Dy 3.49-3.68
Pb (0.0836, 0.5000, 0.7496) x2  6 Dy 3.05-3.35, 1 Ho 3.35

Results
The density of states at the Fermi level is 10.7 states/eV per cell. The total energy comes out at -4.32 eV/atom. The crystal system is monoclinic. For the energy above the most stable polymorph in this dataset, the calculation gives 325.3 meV per atom.


Entry from Alexandria: crystalline Dy4Ho4Pb at its relaxed geometry (GGA-PBE).

Cell lengths 10.6718, 10.6718, 4.8226 Å; angles 90.00, 90.00, 90.00 degrees
Closest atoms and distances in Å follow each position.
Space group I4/mmm (No. 139)
Asymmetric unit:
Dy (0.0000, 0.3367, 0.0000) x8  5 Dy 3.45-3.49, 6 Ho 3.50-3.60, 1 Pb 3.59
Ho (0.1625, 0.1625, 0.5000) x8  2 Pb 3.44, 4 Ho 3.47-3.58, 6 Dy 3.50-3.60
Pb (0.0000, 0.0000, 0.0000) x2  8 Ho 3.44, 4 Dy 3.59

Results
The density of states at the Fermi level is 28.6 states/eV per cell. The total energy comes out at -4.58 eV/atom. The crystal system is tetragonal.


Entry from Alexandria: crystalline Dy3HoPb5 at its relaxed geometry (GGA-PBE).

Cell lengths 9.5311, 9.5311, 6.5400 Å; angles 90.00, 90.00, 120.00 degrees
Closest atoms and distances in Å follow each position.
Space group P6_3/mcm (No. 193)
Asymmetric unit:
Dy (0.0000, 0.3811, 0.2500) x6  9 Pb 3.16-3.40
Ho (0.0000, 0.0000, 0.0000) x2  6 Pb 3.19, 2 Ho 3.27
Pb (0.0000, 0.2876, 0.7500) x6  5 Dy 3.16-3.39, 2 Ho 3.19
Pb (0.3333, 0.6667, 0.0000) x4  2 Pb 3.27, 6 Dy 3.40

Results
The density of states at the Fermi level is 16.6 states/eV per cell. The total energy comes out at -4.51 eV/atom. The crystal system is hexagonal.


no.,DFT formation energy (eV per atom)
1,-0.43
2,0.05
3,-0.09
4,-0.40